First-principles (PBE) data for a relaxed TmSc2ZnPt4 crystal, as listed in the Alexandria database.

```
TmSc2ZnPt4
1.0
2.316 1.337 7.683
-2.316 1.337 7.683
0.000 -2.674 7.683
Tm Sc Zn Pt
1 2 1 4
Cartesian
0.000 0.000 0.000
0.000 0.000 5.612
0.000 0.000 17.437
0.000 0.000 11.525
0.000 0.000 2.864
0.000 0.000 8.790
0.000 0.000 14.260
0.000 0.000 20.185
```


First-principles (PBE) data for a relaxed ZrNi2HAu crystal, as listed in the Alexandria database.

```
ZrNi2HAu
1.0
3.977 0.000 0.000
0.000 3.977 0.000
0.000 0.000 4.042
Zr Ni H Au
1 2 1 1
Cartesian
0.000 0.000 0.000
0.000 1.989 2.021
1.989 0.000 2.021
0.000 0.000 2.021
1.989 1.989 0.000
```


First-principles (PBE) data for a relaxed InGe6Te8 crystal, as listed in the Alexandria database.

```
InGe6Te8
1.0
4.980 2.875 5.438
-4.980 2.875 5.438
0.000 -5.750 5.438
In Ge Te
1 6 8
Cartesian
0.000 0.000 0.000
-2.393 -0.089 5.904
1.274 -2.028 5.904
-1.119 -2.117 10.410
1.119 2.117 5.904
-1.274 2.028 10.410
2.393 0.089 10.410
-0.911 -3.372 7.069
-3.376 -0.897 9.245
0.000 0.000 4.489
-2.465 2.475 7.069
2.465 -2.475 9.245
0.000 0.000 11.824
3.376 0.897 7.069
0.911 3.372 9.245
```

Results
The formation energy from raw total energies comes out at -0.044 eV/atom.


First-principles (PBE) data for a relaxed LiNdI2 crystal, as listed in the Alexandria database.

```
LiNdI2
1.0
2.031 1.173 8.207
-2.031 1.173 8.207
0.000 -2.346 8.207
Li Nd I
1 1 2
Cartesian
0.000 0.000 0.000
0.000 0.000 20.587
0.000 0.000 10.046
0.000 0.000 14.682
```

Results
The formation energy from raw total energies comes out at -0.990 eV/atom. For the relative energy among the computed polymorphs, the calculation gives 0.000 eV per atom.


| no. | total moment (Bohr magnetons per cell) | electronic total energy (eV per atom) |
| --- | --- | --- |
| 1 | 0.0 | -6.396 |
| 2 | 0.0 | -5.551 |
| 3 | 0.0 | -3.749 |
| 4 | 0.0 | -3.436 |